# 1
A relaxed Nd2GdO3 crystal. Source: OQMD via LeMat-Bulk, functional PBE-GGA.

Lattice parameters (Å, degrees): 3.4945 3.4945 8.6973 90.00 90.00 120.00
Positions (direct):
Nd  0.3333  0.6667  0.1692
Nd  0.6667  0.3333  0.8308
Gd  0.0000  0.0000  0.5000
O  0.0000  0.0000  0.0000
O  0.3333  0.6667  0.6454
O  0.6667  0.3333  0.3546

The value obtained for the total energy is -7.600 eV/atom. As for the calculated density: 8.91 g/cm3. The space group is P-3m1, No. 164. The calculation puts the total magnetization at 0.0 μB/cell.

=====

# 2
A relaxed SrHfPd crystal. Source: OQMD via LeMat-Bulk, functional PBE-GGA.

Lattice parameters (Å, degrees): 6.8886 6.8886 6.8886 90.00 90.00 90.00
Positions (direct):
Sr  0.0000  0.0000  0.0000
Sr  0.0000  0.5000  0.5000
Sr  0.5000  0.0000  0.5000
Sr  0.5000  0.5000  0.0000
Hf  0.0000  0.0000  0.5000
Hf  0.0000  0.5000  0.0000
Hf  0.5000  0.0000  0.0000
Hf  0.5000  0.5000  0.5000
Pd  0.2500  0.2500  0.2500
Pd  0.2500  0.7500  0.7500
Pd  0.7500  0.2500  0.7500
Pd  0.7500  0.7500  0.2500

The value obtained for the total energy is -5.410 eV/atom. As for the calculated density: 7.57 g/cm3. The space group is F-43m, No. 216. The calculation puts the total magnetization at 0.0 μB/cell.

=====

# 3
A relaxed Cs2TlPtCl6 crystal. Source: OQMD via LeMat-Bulk, functional PBE-GGA.

Lattice parameters (Å, degrees): 7.5998 7.5998 7.5998 60.00 60.00 60.00
Positions (direct):
Cs  0.2500  0.2500  0.2500
Cs  0.7500  0.7500  0.7500
Tl  0.0000  0.0000  0.0000
Pt  0.5000  0.5000  0.5000
Cl  0.2733  0.2733  0.7267
Cl  0.2733  0.7267  0.2733
Cl  0.2733  0.7267  0.7267
Cl  0.7267  0.2733  0.2733
Cl  0.7267  0.2733  0.7267
Cl  0.7267  0.7267  0.2733

The value obtained for the total energy is -3.300 eV/atom. As for the calculated density: 4.70 g/cm3. The space group is Fm-3m, No. 225. The calculation puts the total magnetization at 1.0 μB/cell.

=====

# 4
A relaxed ZnCoCuGe crystal. Source: OQMD via LeMat-Bulk, functional PBE-GGA.

Lattice parameters (Å, degrees): 5.8869 5.8869 5.8869 90.00 90.00 90.00
Positions (direct):
Zn  0.0000  0.0000  0.0000
Zn  0.0000  0.5000  0.5000
Zn  0.5000  0.0000  0.5000
Zn  0.5000  0.5000  0.0000
Co  0.0000  0.0000  0.5000
Co  0.0000  0.5000  0.0000
Co  0.5000  0.0000  0.0000
Co  0.5000  0.5000  0.5000
Cu  0.2500  0.2500  0.2500
Cu  0.2500  0.7500  0.7500
Cu  0.7500  0.2500  0.7500
Cu  0.7500  0.7500  0.2500
Ge  0.2500  0.2500  0.7500
Ge  0.2500  0.7500  0.2500
Ge  0.7500  0.2500  0.2500
Ge  0.7500  0.7500  0.7500

The value obtained for the total energy is -4.054 eV/atom. As for the calculated density: 8.48 g/cm3. The space group is F-43m, No. 216. The calculation puts the total magnetization at 0.0 μB/cell.

=====

# 5
A relaxed PbAuF4 crystal. Source: OQMD via LeMat-Bulk, functional PBE-GGA.

Lattice parameters (Å, degrees): 6.8239 6.8239 6.8239 129.66 129.66 73.95
Positions (direct):
Pb  0.2500  0.2500  0.0000
Pb  0.7500  0.7500  0.0000
Au  0.0000  0.5000  0.5000
Au  0.5000  0.0000  0.5000
F  0.0584  0.5584  0.8791
F  0.1793  0.0584  0.5000
F  0.3207  0.8207  0.8791
F  0.4416  0.3207  0.5000
F  0.5584  0.6793  0.5000
F  0.6793  0.1793  0.1209
F  0.8207  0.9416  0.5000
F  0.9416  0.4416  0.1209

The value obtained for the total energy is -3.983 eV/atom. As for the calculated density: 8.68 g/cm3. The space group is I4/mcm, No. 140.

=====

# 6
A relaxed SrNdCdP2 crystal. Source: OQMD via LeMat-Bulk, functional PBE-GGA.

Lattice parameters (Å, degrees): 8.8707 8.8707 6.9960 90.00 90.00 152.39
Positions (direct):
Sr  0.1999  0.8001  0.5000
Sr  0.8001  0.1999  0.0000
Nd  0.0327  0.9673  0.8320
Nd  0.9673  0.0327  0.3320
Cd  0.3944  0.6056  0.6720
Cd  0.6056  0.3944  0.1720
P  0.1745  0.8255  0.0423
P  0.4376  0.5624  0.0351
P  0.5624  0.4376  0.5351
P  0.8255  0.1745  0.5423

The value obtained for the total energy is -4.514 eV/atom. As for the calculated density: 5.29 g/cm3. The space group is Cmc2_1, No. 36. The calculation puts the total magnetization at 0.0 μB/cell.

=====

# 7
A relaxed HoSi2Pt crystal. Source: OQMD via LeMat-Bulk, functional PBE-GGA.

Lattice parameters (Å, degrees): 5.4409 3.2753 8.1155 90.00 96.66 90.00
Positions (direct):
Ho  0.0987  0.2500  0.3154
Ho  0.9013  0.7500  0.6846
Si  0.1807  0.7500  0.0047
Si  0.3835  0.7500  0.5819
Si  0.6165  0.2500  0.4181
Si  0.8193  0.2500  0.9953
Pt  0.4145  0.2500  0.8201
Pt  0.5855  0.7500  0.1799

The value obtained for the total energy is -5.959 eV/atom. As for the calculated density: 9.62 g/cm3. The space group is P2_1/m, No. 11. The calculation puts the total magnetization at 0.0 μB/cell.

=====

# 8
A relaxed Nd3Er3Te2Ir crystal. Source: OQMD via LeMat-Bulk, functional PBE-GGA.

Lattice parameters (Å, degrees): 8.5555 8.5555 3.9562 90.00 90.00 120.00
Positions (direct):
Nd  0.0000  0.7517  0.0000
Nd  0.2483  0.2483  0.0000
Nd  0.7517  0.0000  0.0000
Er  0.0000  0.3989  0.5000
Er  0.3989  0.0000  0.5000
Er  0.6011  0.6011  0.5000
Te  0.3333  0.6667  0.0000
Te  0.6667  0.3333  0.0000
Ir  0.0000  0.0000  0.5000

The value obtained for the total energy is -5.535 eV/atom. As for the calculated density: 9.15 g/cm3. The space group is P-62m, No. 189. The calculation puts the total magnetization at 0.1 μB/cell.

=====

# 9
A relaxed GdSe crystal. Source: OQMD via LeMat-Bulk, functional PBE-GGA.

Lattice parameters (Å, degrees): 4.1104 4.1104 10.0337 90.00 90.00 120.00
Positions (direct):
Gd  0.0000  0.0000  0.0000
Gd  0.3333  0.6667  0.6667
Gd  0.6667  0.3333  0.3333
Se  0.0000  0.0000  0.5000
Se  0.3333  0.6667  0.1667
Se  0.6667  0.3333  0.8333

The value obtained for the total energy is -5.864 eV/atom. As for the calculated density: 8.01 g/cm3. The space group is R-3m, No. 166. The calculation puts the total magnetization at 0.0 μB/cell.

=====

# 10
A relaxed Pr2NdZn3CdIn2 crystal. Source: OQMD via LeMat-Bulk, functional PBE-GGA.

Lattice parameters (Å, degrees): 4.6872 7.3966 7.3966 119.89 90.00 90.00
Positions (direct):
Pr  0.0000  0.2104  0.7896
Pr  0.0000  0.7896  0.2104
Nd  0.0000  0.3677  0.3677
Zn  0.5000  0.0225  0.0225
Zn  0.5000  0.5553  0.7890
Zn  0.5000  0.7890  0.5553
Cd  0.0000  0.7871  0.7871
In  0.5000  0.1237  0.4555
In  0.5000  0.4555  0.1237

The value obtained for the total energy is -3.077 eV/atom. As for the calculated density: 7.20 g/cm3. The space group is Amm2, No. 38. The calculation puts the total magnetization at 0.0 μB/cell.

=====

# 11
A relaxed BeAlInPt crystal. Source: OQMD via LeMat-Bulk, functional PBE-GGA.

Lattice parameters (Å, degrees): 6.2681 6.2681 6.2681 90.00 90.00 90.00
Positions (direct):
Be  0.0000  0.0000  0.0000
Be  0.0000  0.5000  0.5000
Be  0.5000  0.0000  0.5000
Be  0.5000  0.5000  0.0000
Al  0.0000  0.0000  0.5000
Al  0.0000  0.5000  0.0000
Al  0.5000  0.0000  0.0000
Al  0.5000  0.5000  0.5000
In  0.2500  0.2500  0.7500
In  0.2500  0.7500  0.2500
In  0.7500  0.2500  0.2500
In  0.7500  0.7500  0.7500
Pt  0.2500  0.2500  0.2500
Pt  0.2500  0.7500  0.7500
Pt  0.7500  0.2500  0.7500
Pt  0.7500  0.7500  0.2500

The value obtained for the total energy is -4.088 eV/atom. As for the calculated density: 9.33 g/cm3. The space group is F-43m, No. 216. The calculation puts the total magnetization at 0.0 μB/cell.

=====

# 12
A relaxed PaP crystal. Source: OQMD via LeMat-Bulk, functional PBE-GGA.

Lattice parameters (Å, degrees): 5.6111 5.6111 5.6111 90.00 90.00 90.00
Positions (direct):
Pa  0.0000  0.0000  0.0000
Pa  0.0000  0.5000  0.5000
Pa  0.5000  0.0000  0.5000
Pa  0.5000  0.5000  0.0000
P  0.0000  0.0000  0.5000
P  0.0000  0.5000  0.0000
P  0.5000  0.0000  0.0000
P  0.5000  0.5000  0.5000

The value obtained for the total energy is -8.783 eV/atom. As for the calculated density: 9.85 g/cm3. The space group is Fm-3m, No. 225. The calculation puts the total magnetization at 0.0 μB/cell.

=====

# 13
A relaxed Zr5Bi crystal. Source: OQMD via LeMat-Bulk, functional PBE-GGA.

Lattice parameters (Å, degrees): 5.5705 5.5705 5.2259 90.00 90.00 120.00
Positions (direct):
Zr  0.0000  0.6756  0.0000
Zr  0.3244  0.3244  0.0000
Zr  0.3333  0.6667  0.5000
Zr  0.6667  0.3333  0.5000
Zr  0.6756  0.0000  0.0000
Bi  0.0000  0.0000  0.5000

The value obtained for the total energy is -7.879 eV/atom. As for the calculated density: 7.86 g/cm3. The space group is P-62m, No. 189. The calculation puts the total magnetization at 0.0 μB/cell.

=====

# 14
A relaxed RbPrZnTe3 crystal. Source: OQMD via LeMat-Bulk, functional PBE-GGA.

Lattice parameters (Å, degrees): 16.6915 4.5278 12.1278 90.00 90.00 90.00
Positions (direct):
Rb  0.2344  0.2500  0.0274
Rb  0.2656  0.7500  0.5274
Rb  0.7344  0.2500  0.4726
Rb  0.7656  0.7500  0.9726
Pr  0.0243  0.2500  0.3447
Pr  0.4757  0.7500  0.8447
Pr  0.5243  0.2500  0.1553
Pr  0.9757  0.7500  0.6553
Zn  0.0170  0.7500  0.1001
Zn  0.4830  0.2500  0.6001
Zn  0.5170  0.7500  0.3999
Zn  0.9830  0.2500  0.8999
Te  0.0788  0.7500  0.8893
Te  0.0991  0.2500  0.5824
Te  0.1385  0.7500  0.2417
Te  0.3615  0.2500  0.7417
Te  0.4009  0.7500  0.0824
Te  0.4212  0.2500  0.3893
Te  0.5788  0.7500  0.6107
Te  0.5991  0.2500  0.9176
Te  0.6385  0.7500  0.2583
Te  0.8615  0.2500  0.7583
Te  0.9009  0.7500  0.4176
Te  0.9212  0.2500  0.1107

The value obtained for the total energy is -3.812 eV/atom. As for the calculated density: 4.89 g/cm3. The space group is Pnma, No. 62. The calculation puts the total magnetization at 0.0 μB/cell.

=====

# 15
A relaxed KYBAu crystal. Source: OQMD via LeMat-Bulk, functional PBE-GGA.

Lattice parameters (Å, degrees): 7.0810 7.0810 7.0810 90.00 90.00 90.00
Positions (direct):
K  0.0000  0.0000  0.0000
K  0.0000  0.5000  0.5000
K  0.5000  0.0000  0.5000
K  0.5000  0.5000  0.0000
Y  0.0000  0.0000  0.5000
Y  0.0000  0.5000  0.0000
Y  0.5000  0.0000  0.0000
Y  0.5000  0.5000  0.5000
B  0.2500  0.2500  0.2500
B  0.2500  0.7500  0.7500
B  0.7500  0.2500  0.7500
B  0.7500  0.7500  0.2500
Au  0.2500  0.2500  0.7500
Au  0.2500  0.7500  0.2500
Au  0.7500  0.2500  0.2500
Au  0.7500  0.7500  0.7500

The value obtained for the total energy is -3.868 eV/atom. As for the calculated density: 6.28 g/cm3. The space group is F-43m, No. 216. The calculation puts the total magnetization at 0.1 μB/cell.

=====

# 16
A relaxed NdDy2S3 crystal. Source: OQMD via LeMat-Bulk, functional PBE-GGA.

Lattice parameters (Å, degrees): 3.9394 3.9394 9.7626 90.00 90.00 120.00
Positions (direct):
Nd  0.0000  0.0000  0.0000
Dy  0.3333  0.6667  0.6633
Dy  0.6667  0.3333  0.3367
S  0.0000  0.0000  0.5000
S  0.3333  0.6667  0.1796
S  0.6667  0.3333  0.8204

The value obtained for the total energy is -6.399 eV/atom. As for the calculated density: 7.16 g/cm3. The space group is P-3m1, No. 164. The calculation puts the total magnetization at 0.0 μB/cell.

=====

# 17
A relaxed Cd4In2IrPt crystal. Source: OQMD via LeMat-Bulk, functional PBE-GGA.

Lattice parameters (Å, degrees): 4.6596 4.6596 8.6941 90.00 90.00 120.00
Positions (direct):
Cd  0.0000  0.0000  0.1742
Cd  0.0000  0.0000  0.8258
Cd  0.6667  0.3333  0.3213
Cd  0.6667  0.3333  0.6787
In  0.3333  0.6667  0.0000
In  0.3333  0.6667  0.5000
Ir  0.6667  0.3333  0.0000
Pt  0.0000  0.0000  0.5000

The value obtained for the total energy is -3.174 eV/atom. As for the calculated density: 10.83 g/cm3. The space group is P-6m2, No. 187. The calculation puts the total magnetization at 0.0 μB/cell.

=====

# 18
A relaxed LaBeP2Pd crystal. Source: OQMD via LeMat-Bulk, functional PBE-GGA.

Lattice parameters (Å, degrees): 3.8945 3.8945 11.2412 90.00 90.00 90.00
Positions (direct):
La  0.0000  0.0000  0.0000
La  0.5000  0.5000  0.5000
Be  0.0000  0.5000  0.7500
Be  0.5000  0.0000  0.2500
P  0.0000  0.0000  0.3731
P  0.0000  0.0000  0.6269
P  0.5000  0.5000  0.1269
P  0.5000  0.5000  0.8731
Pd  0.0000  0.5000  0.2500
Pd  0.5000  0.0000  0.7500

The value obtained for the total energy is -5.746 eV/atom. As for the calculated density: 6.16 g/cm3. The space group is I-4m2, No. 119. The calculation puts the total magnetization at 0.0 μB/cell.

=====

# 19
A relaxed Nb2Ir3Pd crystal. Source: OQMD via LeMat-Bulk, functional PBE-GGA.

Lattice parameters (Å, degrees): 2.7994 3.9469 8.5221 90.00 90.00 90.00
Positions (direct):
Nb  0.0000  0.0000  0.0000
Nb  0.5000  0.5000  0.4975
Ir  0.0000  0.0000  0.3314
Ir  0.5000  0.5000  0.1736
Ir  0.5000  0.5000  0.8373
Pd  0.0000  0.0000  0.6695

The value obtained for the total energy is -9.037 eV/atom. As for the calculated density: 15.32 g/cm3. The space group is Pmm2, No. 25. The calculation puts the total magnetization at 0.0 μB/cell.

=====

# 20
A relaxed RbPmO3 crystal. Source: OQMD via LeMat-Bulk, functional PBE-GGA.

Lattice parameters (Å, degrees): 6.4457 9.1246 6.4309 90.00 90.00 90.00
Positions (direct):
Rb  0.0052  0.2500  0.0011
Rb  0.4948  0.7500  0.5011
Rb  0.5052  0.2500  0.4989
Rb  0.9948  0.7500  0.9989
Pm  0.0000  0.0000  0.5000
Pm  0.0000  0.5000  0.5000
Pm  0.5000  0.0000  0.0000
Pm  0.5000  0.5000  0.0000
O  0.0050  0.7500  0.4798
O  0.2368  0.5107  0.7633
O  0.2368  0.9893  0.7633
O  0.2632  0.0107  0.2633
O  0.2632  0.4893  0.2633
O  0.4950  0.2500  0.9798
O  0.5050  0.7500  0.0202
O  0.7368  0.5107  0.7367
O  0.7368  0.9893  0.7367
O  0.7632  0.0107  0.2367
O  0.7632  0.4893  0.2367
O  0.9950  0.2500  0.5202

The value obtained for the total energy is -5.878 eV/atom. As for the calculated density: 4.89 g/cm3. The space group is Pnma, No. 62. The calculation puts the total magnetization at 8.0 μB/cell.